1.
## SrLaCe2N4 (PBE)

Data for a relaxed SrLaCe2N4 crystal.

Values from the calculation:
Space-group type ... No. 74
Formation energy without anion corrections ... -10.353 eV per formula unit
Final energy ... -7.77 eV/atom

abc: 7.3044 7.3044 7.3087
angles: 120.02 120.02 89.83
Element x y z (fractional)
Sr1 0.0000 0.5000 0.0000
Sr2 0.0000 0.5000 0.5000
La1 0.5000 0.5000 0.5000
La2 0.0000 0.0000 0.0000
Ce1 0.5000 0.0000 0.0000
Ce2 0.5000 0.0000 0.5000
Ce3 0.0000 0.0000 0.5000
Ce4 0.5000 0.5000 0.0000
N1 0.2861 0.7695 0.0278
N2 0.7305 0.2139 0.4722
N3 0.2695 0.7861 0.5278
N4 0.7139 0.2305 0.9722
N5 0.7376 0.7623 0.0144
N6 0.7377 0.7624 0.4856
N7 0.2623 0.2376 0.5144
N8 0.2624 0.2377 0.9856

***

2.
## SrLa3Ce2N6 (PBE)

Data for a relaxed SrLa3Ce2N6 crystal.

Values from the calculation:
Space-group type ... No. 12
Formation energy without anion corrections ... -15.486 eV per formula unit
Final energy ... -7.81 eV/atom

abc: 3.6996 7.3861 8.2309
angles: 103.12 102.99 90.00
Element x y z (fractional)
Sr1 0.5000 0.0000 0.0000
La1 0.5000 0.5000 0.0000
La2 0.8313 0.1656 0.6626
La3 0.1687 0.8344 0.3374
Ce1 0.8332 0.6668 0.6665
Ce2 0.1668 0.3332 0.3335
N1 0.3241 0.9009 0.6481
N2 0.6746 0.5743 0.3492
N3 0.6759 0.0991 0.3519
N4 0.0186 0.2751 0.0371
N5 0.9814 0.7249 0.9629
N6 0.3254 0.4257 0.6508

***

3.
## LaCeTaN3 (PBE)

Data for a relaxed LaCeTaN3 crystal.

Values from the calculation:
Space-group type ... No. 11
Formation energy without anion corrections ... -6.524 eV per formula unit
Final energy ... -9.04 eV/atom

abc: 3.5816 7.5906 8.0280
angles: 95.04 90.00 90.00
Element x y z (fractional)
La1 0.7500 0.8423 0.8446
La2 0.2500 0.1577 0.1554
Ce1 0.2500 0.6205 0.1633
Ce2 0.7500 0.3795 0.8367
Ta1 0.2500 0.1102 0.5949
Ta2 0.7500 0.8898 0.4051
N1 0.2500 0.8306 0.5100
N2 0.7500 0.8821 0.1573
N3 0.7500 0.3992 0.1154
N4 0.7500 0.1694 0.4900
N5 0.2500 0.6008 0.8846
N6 0.2500 0.1179 0.8427

***

4.
## LaCeTaN4 (PBE)

Data for a relaxed LaCeTaN4 crystal.

Values from the calculation:
Space-group type ... No. 63
Formation energy without anion corrections ... -9.233 eV per formula unit
Final energy ... -9.32 eV/atom

abc: 5.7385 5.7598 6.8856
angles: 90.00 114.63 90.00
Element x y z (fractional)
La1 0.6087 0.7500 0.2173
La2 0.3913 0.2500 0.7827
Ce1 0.1037 0.2500 0.2074
Ce2 0.8963 0.7500 0.7926
Ta1 0.2614 0.7500 0.5229
Ta2 0.7386 0.2500 0.4771
N1 0.9350 0.2500 0.8699
N2 0.4191 0.7500 0.8383
N3 0.0650 0.7500 0.1301
N4 0.5809 0.2500 0.1617
N5 0.5000 0.5000 0.5000
N6 0.0000 0.0000 0.5000
N7 0.5000 0.0000 0.5000
N8 0.0000 0.5000 0.5000

***

Question: Look up the final energy of the fourth one.
Answer: -9.32 eV/atom

***

Question: What is the formation energy without anion corrections in the second record?
Answer: -15.486 eV per formula unit

***

Question: Among the records above, which one has the highest final energy?
Answer: SrLaCe2N4

***

Question: final energy of number 1 (SrLaCe2N4)?
Answer: -7.77 eV/atom